A relaxed structure of KLa2Si, computed with PBEsol.

Computed properties:
Its energy relative to the elements, uncorrected is 33 kJ/mol of formula units. As for the final energy: -17.23 eV per formula unit. As for the crystal system: tetragonal.

POSCAR file:
```
KLa2Si
1.0
5.038 0.000 0.000
0.000 5.038 0.000
0.000 0.000 8.678
K La Si
2 4 2
Direct
0.000 0.000 0.000
0.500 0.500 0.500
0.000 0.500 0.250
0.000 0.500 0.750
0.500 0.000 0.250
0.500 0.000 0.750
0.000 0.000 0.500
0.500 0.500 0.000
```